1.
The following is a GGA-PBE calculation of a geometry-optimized Ce2ErPb structure, from Alexandria via LeMat-Bulk.

Unit cell a=4.4865 b=4.3794 c=11.5461 alpha=90.00 beta=99.88 gamma=90.00
Last column: nearest neighbours and their distance in Å.
Space group P2_1/m (No. 11)
Asymmetric unit:
Ce (0.0017, 0.2500, 0.3839) (multiplicity 2)  2 Ce 2.82
Ce (0.3977, 0.7500, 0.3859) (multiplicity 2)  2 Ce 2.82
Er (0.3072, 0.2500, 0.1132) (multiplicity 2)  5 Pb 3.15-3.21
Pb (0.1778, 0.2500, 0.8365) (multiplicity 2)  5 Er 3.15-3.21, 4 Ce 3.31-3.45

Computed properties:
DFT formation energy in meV per atom: -271
Total energy in eV/atom: -5.306

***

2.
The following is a GGA-PBE calculation of a geometry-optimized AcZn6Au12 structure, from Alexandria via LeMat-Bulk.

Unit cell a=11.7972 b=11.7972 c=9.1658 alpha=90.00 beta=90.00 gamma=120.00
Last column: nearest neighbours and their distance in Å.
Space group R-3m (No. 166, hexagonal axes)
Asymmetric unit:
Ac (0.0000, 0.0000, 0.0000) (multiplicity 3)  6 Au 3.24
Zn (0.0579, 0.5289, 0.2479) (multiplicity 18)  7 Au 2.62-2.81
Au (0.0000, 0.3825, 0.5000) (multiplicity 18)  4 Zn 2.62-2.76, 3 Au 2.77-2.82
Au (0.0843, 0.1686, 0.2989) (multiplicity 18)  4 Zn 2.69-3.00, 4 Au 2.82-2.98

Computed properties:
DFT formation energy in meV per atom: -229
Total energy in eV/atom: -2.918

***

3.
The following is a GGA-PBE calculation of a geometry-optimized Zr2HgPt structure, from Alexandria via LeMat-Bulk.

Unit cell a=3.0520 b=3.0520 c=8.5627 alpha=90.00 beta=90.00 gamma=90.00
Last column: nearest neighbours and their distance in Å.
Space group P4/mmm (No. 123)
Asymmetric unit:
Zr (0.0000, 0.0000, 0.2300) (multiplicity 2)  4 Pt 2.92, 4 Zr 3.05, 4 Hg 3.16
Hg (0.5000, 0.5000, 0.5000) (multiplicity 1)  4 Hg 3.05, 8 Zr 3.16
Pt (0.5000, 0.5000, 0.0000) (multiplicity 1)  8 Zr 2.92, 4 Pt 3.05

Computed properties:
DFT formation energy in meV per atom: -524
Total energy in eV/atom: -6.384